Entry 1:
A plane-wave DFT calculation with GGA-PBE was carried out for a geometry-optimized Bi4Pt2Au structure.

Summary:
* polymorph energy (0 for the lowest one): 0.49 eV/f.u.
* E: -4.518 eV/atom
* N(E_F): 4.1 states/eV/cell
* ΔE_f: -0.106 eV per atom

a b c (Å): 5.5987 4.2184 8.4028
angles (deg): 90.00 103.40 90.00
Space group P2/m (No. 10)
One atom of each set of equivalent atoms:
Bi  0.0827  0.0000  0.1970 x2
Bi  0.3626  0.5000  0.7045 x2
Pt  0.2571  0.5000  0.0256 x2
Au  0.5000  0.0000  0.5000 x1


Entry 2:
A plane-wave DFT calculation with GGA-PBE was carried out for a geometry-optimized NaTlS2 structure.

Summary:
* E: -3.472 eV/atom
* N(E_F): 0.0 states/eV/cell
* energy relative to the elements, uncorrected: -46.9 kJ per mole of atoms

a b c (Å): 7.4815 7.4815 6.8203
angles (deg): 90.00 90.00 90.00
Space group I4/mcm (No. 140)
One atom of each set of equivalent atoms:
Na  0.0000  0.0000  0.2500 x4
Tl  0.0000  0.5000  0.2500 x4
S  0.1842  0.3158  0.0000 x8


Entry 3:
A plane-wave DFT calculation with GGA-PBE was carried out for a geometry-optimized SnHg2S4 structure.

Summary:
* E: -3.187 eV/atom
* N(E_F): 0.6 states/eV/cell
* energy relative to the elements, uncorrected: -16.5 kJ per mole of atoms

a b c (Å): 13.3720 3.9638 6.8600
angles (deg): 90.00 106.54 90.00
Space group C2/m (No. 12)
One atom of each set of equivalent atoms:
Sn  0.0000  0.0000  0.0000 x2
Hg  0.1313  0.5000  0.5816 x4
S  0.1159  0.5000  0.9296 x4
S  0.1369  0.0000  0.3525 x4


Entry 4:
A plane-wave DFT calculation with GGA-PBE was carried out for a geometry-optimized HPtS structure.

Summary:
* polymorph energy (0 for the lowest one): 0.13 eV/f.u.
* E: -4.438 eV/atom
* N(E_F): 0.7 states/eV/cell

a b c (Å): 3.3860 3.3860 3.5827
angles (deg): 90.00 90.00 90.00
Space group P4mm (No. 99)
One atom of each set of equivalent atoms:
H  0.0000  0.0000  0.0000 x1
Pt  0.0000  0.0000  0.4768 x1
S  0.5000  0.5000  0.6056 x1


Entry 5:
A plane-wave DFT calculation with GGA-PBE was carried out for a geometry-optimized Cr2Ni9Sn structure.

Summary:
* E: -6.329 eV/atom
* N(E_F): 15.1 states/eV/cell
* ΔE_f: -0.056 eV per atom

a b c (Å): 3.6155 3.6155 10.8107
angles (deg): 90.00 90.00 90.00
Space group P4/mmm (No. 123)
One atom of each set of equivalent atoms:
Cr  0.0000  0.0000  0.1611 x2
Ni  0.0000  0.5000  0.0000 x2
Ni  0.0000  0.5000  0.3197 x4
Ni  0.5000  0.5000  0.1608 x2
Ni  0.5000  0.5000  0.5000 x1
Sn  0.0000  0.0000  0.5000 x1


Entry 6:
A plane-wave DFT calculation with GGA-PBE was carried out for a geometry-optimized AcNdCdSb structure.

Summary:
* E: -4.034 eV/atom
* N(E_F): 16.7 states/eV/cell
* energy relative to the elements, uncorrected: -53.6 kJ per mole of atoms

a b c (Å): 7.9426 7.9426 7.9426
angles (deg): 90.00 90.00 90.00
Space group F-43m (No. 216)
One atom of each set of equivalent atoms:
Ac  0.0000  0.0000  0.0000 x4
Nd  0.0000  0.0000  0.5000 x4
Cd  0.2500  0.2500  0.2500 x4
Sb  0.2500  0.2500  0.7500 x4


Entry 7:
A plane-wave DFT calculation with GGA-PBE was carried out for a geometry-optimized PIrW structure.

Summary:
* polymorph energy (0 for the lowest one): 0.95 eV/f.u.
* E: -8.903 eV/atom
* N(E_F): 5.1 states/eV/cell
* ΔE_f: 0.171 eV per atom

a b c (Å): 5.8946 5.8946 5.8946
angles (deg): 90.00 90.00 90.00
Space group F-43m (No. 216)
One atom of each set of equivalent atoms:
P  0.0000  0.0000  0.0000 x4
Ir  0.0000  0.0000  0.5000 x4
W  0.2500  0.2500  0.2500 x4


Q: Look up the N(E_F) of the fourth one.
A: 0.7 states/eV/cell


Q: N(E_F) of number 5 (Cr2Ni9Sn)?
A: 15.1 states/eV/cell


Q: Which of these has the lowest N(E_F)?
A: NaTlS2


What did the third record say?
A plane-wave DFT calculation with GGA-PBE was carried out for a geometry-optimized SnHg2S4 structure.

Summary:
* E: -3.187 eV/atom
* N(E_F): 0.6 states/eV/cell
* energy relative to the elements, uncorrected: -16.5 kJ per mole of atoms

a b c (Å): 13.3720 3.9638 6.8600
angles (deg): 90.00 106.54 90.00
Space group C2/m (No. 12)
One atom of each set of equivalent atoms:
Sn  0.0000  0.0000  0.0000 x2
Hg  0.1313  0.5000  0.5816 x4
S  0.1159  0.5000  0.9296 x4
S  0.1369  0.0000  0.3525 x4